(1)
A plane-wave DFT calculation with GGA-PBE was carried out for an optimized crystal structure of Al2CuPd2.

Properties
ΔE_f   -3.049 eV/f.u.
Magnetization   0.00 μB per cell

Lattice parameters (Å, degrees): 4.1724 5.0395 7.2481 90.00 106.73 90.00
Atoms (fractional coordinates):
Al: 0.4402 0.5326 0.8804
Al: 0.7760 0.8620 0.5520
Al: 0.2240 0.3620 0.4480
Al: 0.5598 0.0326 0.1196
Cu: 0.3637 0.0376 0.7275
Cu: 0.6363 0.5376 0.2725
Pd: 0.9578 0.8384 0.9157
Pd: 0.8358 0.3638 0.6715
Pd: 0.1642 0.8638 0.3285
Pd: 0.0422 0.3384 0.0843

(2)
A plane-wave DFT calculation with GGA-PBE was carried out for an optimized crystal structure of InSiAg2.

Properties
Magnetization   0.00 μB per cell
Uncorrected formation energy   0.213 eV per atom

Lattice parameters (Å, degrees): 3.4432 3.9341 5.6348 90.00 90.00 90.00
Atoms (fractional coordinates):
Ag: 0.0000 0.0000 0.9929
Ag: 0.5000 0.5000 0.2417
In: 0.0000 0.0000 0.5011
Si: 0.5000 0.5000 0.7644

(3)
A plane-wave DFT calculation with GGA-PBE was carried out for an optimized crystal structure of Cs2SmGaCl6.

Properties
Magnetization   0.00 μB per cell
Uncorrected formation energy   -1.893 eV per atom

Lattice parameters (Å, degrees): 7.9848 7.9848 7.9848 60.00 60.00 60.00
Atoms (fractional coordinates):
Cs: 0.7500 0.7500 0.7500
Cs: 0.2500 0.2500 0.2500
Sm: 0.0000 0.0000 0.0000
Ga: 0.5000 0.5000 0.5000
Cl: 0.2393 0.7607 0.7607
Cl: 0.2393 0.7607 0.2393
Cl: 0.2393 0.2393 0.7607
Cl: 0.7607 0.7607 0.2393
Cl: 0.7607 0.2393 0.2393
Cl: 0.7607 0.2393 0.7607

(4)
A plane-wave DFT calculation with GGA-PBE was carried out for an optimized crystal structure of DyYEr3Sc.

Properties
ΔE_f   0.243 eV/f.u.
Magnetization   0.00 μB per cell

Lattice parameters (Å, degrees): 3.4840 10.4602 10.4396 109.34 90.00 90.00
Atoms (fractional coordinates):
Dy: 0.2500 0.6286 0.1288
Dy: 0.7500 0.3714 0.8712
Y: 0.2500 0.1196 0.2957
Y: 0.7500 0.8804 0.7043
Er: 0.7500 0.8744 0.0424
Er: 0.2500 0.1256 0.9576
Er: 0.2500 0.6282 0.4569
Er: 0.7500 0.3718 0.5431
Er: 0.7500 0.3752 0.2092
Er: 0.2500 0.6248 0.7908
Sc: 0.2500 0.1226 0.6204
Sc: 0.7500 0.8774 0.3796

(5)
A plane-wave DFT calculation with GGA-PBE was carried out for an optimized crystal structure of LiLaTl3.

Properties
ΔE_f   -1.148 eV/f.u.
Magnetization   0.00 μB per cell

Lattice parameters (Å, degrees): 5.9178 6.7151 6.7151 90.00 90.00 90.00
Atoms (fractional coordinates):
Li: 0.7818 0.0000 0.5000
Li: 0.2182 0.5000 0.0000
La: 0.5000 0.5000 0.5000
La: 0.5000 0.0000 0.0000
Tl: 0.0000 0.7500 0.7500
Tl: 0.0000 0.7500 0.2500
Tl: 0.0000 0.2500 0.2500
Tl: 0.6410 0.5000 0.0000
Tl: 0.0000 0.2500 0.7500
Tl: 0.3590 0.0000 0.5000

(6)
A plane-wave DFT calculation with GGA-PBE was carried out for an optimized crystal structure of KLiSi2.

Properties
Magnetization   0.00 μB per cell
Uncorrected formation energy   0.240 eV per atom

Lattice parameters (Å, degrees): 2.7841 2.7841 9.4920 90.00 90.00 90.00
Atoms (fractional coordinates):
K: 0.5000 0.5000 0.2500
Li: 0.5000 0.5000 0.7500
Si: 0.0000 0.0000 0.9599
Si: 0.0000 0.0000 0.5401

(7)
A plane-wave DFT calculation with GGA-PBE was carried out for an optimized crystal structure of ZnCoP2.

Properties
ΔE_f   -0.415 eV/f.u.
Magnetization   0.02 μB per cell

Lattice parameters (Å, degrees): 6.6053 6.6053 3.4461 90.01 90.01 22.81
Atoms (fractional coordinates):
Co: 0.2941 0.2941 0.1251
P: 0.9383 0.9383 0.1249
P: 0.7253 0.7253 0.6251
Zn: 0.5423 0.5423 0.6249

(8)
A plane-wave DFT calculation with GGA-PBE was carried out for an optimized crystal structure of Ba3P.

Properties
ΔE_f   -0.689 eV/f.u.
Magnetization   0.00 μB per cell

Lattice parameters (Å, degrees): 6.9142 6.9142 6.9142 136.75 136.75 62.83
Atoms (fractional coordinates):
Ba: 0.2500 0.7500 0.5000
Ba: 0.5000 0.5000 0.0000
Ba: 0.7500 0.2500 0.5000
P: 0.0000 0.0000 0.0000

(9)
A plane-wave DFT calculation with GGA-PBE was carried out for an optimized crystal structure of Pm4NdHg2.

Properties
ΔE_f   0.225 eV/f.u.
Magnetization   1.44 μB per cell

Lattice parameters (Å, degrees): 5.1595 5.1595 10.9136 76.33 76.33 60.00
Last column: magnetic moment on the atom in μB.
Atoms (fractional coordinates):
Pm: 0.7026 0.7026 0.8922  0.08
Pm: 0.8924 0.8924 0.3229  0.17
Pm: 0.2974 0.2974 0.1078  0.08
Pm: 0.1076 0.1076 0.6771  0.17
Nd: 0.5000 0.5000 0.5000  0.25
Hg: 0.6008 0.6008 0.1976  0.01
Hg: 0.3992 0.3992 0.8024  0.01

(10)
A plane-wave DFT calculation with GGA-PBE was carried out for an optimized crystal structure of Ni2SbP.

Properties
Magnetization   0.00 μB per cell
Uncorrected formation energy   0.018 eV per atom

Lattice parameters (Å, degrees): 2.9781 2.9781 6.7191 90.00 90.00 90.00
Atoms (fractional coordinates):
Ni: 0.0000 0.0000 0.8148
Ni: 0.0000 0.0000 0.1852
Sb: 0.5000 0.5000 0.5000
P: 0.5000 0.5000 0.0000

(11)
A plane-wave DFT calculation with GGA-PBE was carried out for an optimized crystal structure of ZrCrCd2.

Properties
ΔE_f   0.828 eV/f.u.
Magnetization   3.31 μB per cell

Lattice parameters (Å, degrees): 4.3229 3.0233 6.8536 63.67 90.00 90.00
Last column: magnetic moment on the atom in μB.
Atoms (fractional coordinates):
Cd: 0.0000 0.9859 0.0136  -0.03
Cd: 0.0000 0.5141 0.4864  -0.03
Cr: 0.5000 0.2500 0.2500  3.45
Zr: 0.5000 0.7500 0.7500  -0.24

(12)
A plane-wave DFT calculation with GGA-PBE was carried out for an optimized crystal structure of Sc2GeB2Ir5.

Properties
ΔE_f   -7.764 eV/f.u.
Magnetization   0.00 μB per cell

Lattice parameters (Å, degrees): 9.2984 9.2984 3.1680 90.00 90.00 90.00
Atoms (fractional coordinates):
Sc: 0.6754 0.1754 0.0000
Sc: 0.3246 0.8246 0.0000
Sc: 0.1754 0.3246 0.0000
Sc: 0.8246 0.6754 0.0000
Ge: 0.0000 0.0000 0.0000
Ge: 0.5000 0.5000 0.0000
B: 0.1240 0.6240 0.0000
B: 0.8760 0.3760 0.0000
B: 0.6240 0.8760 0.0000
B: 0.3760 0.1240 0.0000
Ir: 0.2160 0.0709 0.5000
Ir: 0.7840 0.9291 0.5000
Ir: 0.0709 0.7840 0.5000
Ir: 0.7160 0.4291 0.5000
Ir: 0.9291 0.2160 0.5000
Ir: 0.2840 0.5709 0.5000
Ir: 0.5709 0.7160 0.5000
Ir: 0.4291 0.2840 0.5000
Ir: 0.5000 0.0000 0.5000
Ir: 0.0000 0.5000 0.5000

(13)
A plane-wave DFT calculation with GGA-PBE was carried out for an optimized crystal structure of K6ZnHg3.

Properties
ΔE_f   -0.907 eV/f.u.
Magnetization   0.00 μB per cell

Lattice parameters (Å, degrees): 7.3463 10.1170 11.7665 98.52 90.00 90.00
Atoms (fractional coordinates):
K: 0.9353 0.3507 0.1010
K: 0.9144 0.3206 0.4365
K: 0.8115 0.1815 0.7742
K: 0.1885 0.8185 0.2258
K: 0.0856 0.6794 0.5635
K: 0.0647 0.6493 0.8990
K: 0.5647 0.8507 0.6010
K: 0.5856 0.8206 0.9365
K: 0.6885 0.6815 0.2742
K: 0.3115 0.3185 0.7258
K: 0.4144 0.1794 0.0635
K: 0.4353 0.1493 0.3990
Zn: 0.5000 0.5000 0.5000
Zn: 0.0000 0.0000 0.0000
Hg: 0.2962 0.4733 0.2975
Hg: 0.5000 0.5000 0.0000
Hg: 0.7038 0.5267 0.7025
Hg: 0.2038 0.9733 0.7975
Hg: 0.0000 0.0000 0.5000
Hg: 0.7962 0.0267 0.2025

(14)
A plane-wave DFT calculation with GGA-PBE was carried out for an optimized crystal structure of PmZn6Cu6.

Properties
ΔE_f   -2.217 eV/f.u.
Magnetization   0.00 μB per cell

Lattice parameters (Å, degrees): 4.9384 6.6983 6.6983 81.51 68.37 68.37
Atoms (fractional coordinates):
Pm: 0.0000 0.0000 0.0000
Zn: 0.3521 0.6479 0.6479
Zn: 0.6479 0.3521 0.3521
Zn: 0.0000 0.3489 0.6511
Zn: 0.0000 0.6511 0.3489
Zn: 0.2913 0.2087 0.2087
Zn: 0.7087 0.7913 0.7913
Cu: 0.0000 0.5000 0.0000
Cu: 0.5000 0.5000 0.0000
Cu: 0.0000 0.0000 0.5000
Cu: 0.5000 0.0000 0.5000
Cu: 0.5000 0.7725 0.2275
Cu: 0.5000 0.2275 0.7725